Below is an optimized crystal structure of LiSc2W, with properties calculated at the PBE-GGA level.

Its space group is I-4m2. The calculated formation energy is 0.4074 eV per atom. The value obtained for the total energy is -0.4759 Ry per atom. As for the excess energy over the best structure of this formula in the dataset: 203 meV/atom.

extended XYZ file:
```
8
Lattice="4.105 0.000 0.000 0.000 4.105 0.000 0.000 0.000 8.877" Properties=species:S:1:pos:R:3 pbc="T T T"
Li 0.000 0.000 0.000
Li 2.052 2.052 4.438
Sc 0.000 0.000 4.438
Sc 0.000 2.052 6.658
Sc 2.052 0.000 2.219
Sc 2.052 2.052 0.000
W 0.000 2.052 2.219
W 2.052 0.000 6.658
```